Density functional theory data (GGA+U) for a relaxed Rb3BaMo2O8 crystal.

Output
As for the total DFT energy (no corrections): -6.103 eV/atom. Its space group is P-3m1.

Cell lengths 6.5579, 6.5579, 8.3009 Å; angles 90.00, 90.00, 120.00 degrees
Closest atoms and distances in Å follow each position.
Element x y z (fractional)
Rb 0.0000 0.0000 0.0000  6 O 3.24
Rb 0.3333 0.6667 0.6805  1 O 2.67
Rb 0.6667 0.3333 0.3195  1 O 2.67
Ba 0.0000 0.0000 0.5000  6 O 2.65
Mo 0.3333 0.6667 0.2185  4 O 1.79-1.84
Mo 0.6667 0.3333 0.7815  4 O 1.79-1.84
O 0.1822 0.3645 0.2999  1 Mo 1.84
O 0.1822 0.8178 0.2999  1 Mo 1.84
O 0.3333 0.6667 0.0025  1 Mo 1.79
O 0.3645 0.1822 0.7001  1 Mo 1.84
O 0.6355 0.8178 0.2999  1 Mo 1.84
O 0.6667 0.3333 0.9975  1 Mo 1.79
O 0.8178 0.1822 0.7001  1 Mo 1.84
O 0.8178 0.6355 0.7001  1 Mo 1.84